10
Lattice="4.149 0.000 0.000 0.000 5.952 0.000 0.000 -2.976 6.512" Properties=species:S:1:pos:R:3 comment="PrDyO3 (PBE-GGA, optimized geometry)" formation_energy_uncorrected_kj_per_mol_atoms=-289.3 magmom_total_mub_per_atom=0.00 mass_density_g_cm3=7.257 dft_energy_ev_per_atom=-7.8496 pbc="T T T"
Pr 0.000 2.976 2.098
Dy 2.074 0.000 1.551
O 0.000 2.976 4.337
O 2.074 1.488 3.256
O 2.074 1.598 0.000
O 2.074 -1.488 3.256
Dy 2.074 2.976 4.961
Pr 0.000 0.000 4.414
O 0.000 0.000 2.175
O 2.074 4.355 0.000